1.
VASP calculation (PBE-GGA) on a relaxed Nd3Dy2Y6Tm crystal.

For the formation energy, the calculation gives 0.23 eV per formula unit.

The space group is C2/m (No. 12) and the conventional cell measures 6.221, 10.768 and 11.856 Å, with angles of 90.00, 100.03 and 90.00 degrees. Symmetry generates all atoms from Nd at (0.000, 0.000, 0.000), Nd at (0.000, 0.333, 0.000), Dy at (0.000, 0.167, 0.500), Y at (0.248, 0.333, 0.746), Y at (0.249, 0.000, 0.746) and Tm at (0.000, 0.500, 0.500).


2.
VASP calculation (PBE-GGA) on a relaxed TbAlNi5 crystal.

For the formation energy, the calculation gives -3.06 eV per formula unit.

The space group is Pnma (No. 62) and the conventional cell measures 7.885, 4.805 and 9.999 Å, with angles of 90.00, 90.00 and 90.00 degrees. Symmetry generates all atoms from Tb at (0.248, 0.250, 0.058), Al at (0.142, 0.750, 0.858), Ni at (0.051, 0.750, 0.093), Ni at (0.066, 0.006, 0.305), Ni at (0.097, 0.250, 0.516) and Ni at (0.187, 0.250, 0.751).


3.
VASP calculation (PBE-GGA) on a relaxed ZrTi2Rh crystal.

For the formation energy, the calculation gives -1.65 eV per formula unit. As for the distance to the lowest polymorph of the same formula: 0.000 eV per formula unit.

The space group is Immm (No. 71) and the conventional cell measures 3.209, 4.593 and 9.436 Å, with angles of 90.00, 90.00 and 90.00 degrees. Symmetry generates all atoms from Zr at (0.000, 0.000, 0.000), Ti at (0.000, 0.500, 0.234) and Rh at (0.000, 0.000, 0.500).


4.
VASP calculation (PBE-GGA) on a relaxed SmLuZnPd crystal.

For the formation energy, the calculation gives -2.33 eV per formula unit.

The space group is F-43m (No. 216) and the conventional cell measures 7.083, 7.083 and 7.083 Å, with angles of 90.00, 90.00 and 90.00 degrees. Symmetry generates all atoms from Sm at (0.000, 0.000, 0.000), Lu at (0.000, 0.000, 0.500), Zn at (0.250, 0.250, 0.250) and Pd at (0.250, 0.250, 0.750).


5.
VASP calculation (PBE-GGA) on a relaxed La3PmYTh crystal.

For the formation energy, the calculation gives 0.19 eV per formula unit.

The space group is P2_1/m (No. 11) and the conventional cell measures 8.252, 5.167 and 10.372 Å, with angles of 90.00, 108.40 and 90.00 degrees. Symmetry generates all atoms from La at (0.171, 0.250, 0.047), La at (0.171, 0.750, 0.790), La at (0.184, 0.250, 0.545), Pm at (0.184, 0.750, 0.298), Y at (0.497, 0.750, 0.129) and Th at (0.500, 0.250, 0.379).


6.
VASP calculation (PBE-GGA) on a relaxed RbBa2Cd2 crystal.

For the formation energy, the calculation gives -0.77 eV per formula unit. As for the distance to the lowest polymorph of the same formula: 0.000 eV per formula unit.

The space group is P4/mbm (No. 127) and the conventional cell measures 10.003, 10.003 and 4.594 Å, with angles of 90.00, 90.00 and 90.00 degrees. Symmetry generates all atoms from Rb at (0.000, 0.000, 0.000), Ba at (0.152, 0.348, 0.500) and Cd at (0.133, 0.633, 0.000).


7.
VASP calculation (PBE-GGA) on a relaxed RbLa3V crystal.

For the formation energy, the calculation gives 2.56 eV per formula unit.

The space group is Pm-3m (No. 221) and the conventional cell measures 5.730, 5.730 and 5.730 Å, with angles of 90.00, 90.00 and 90.00 degrees. Symmetry generates all atoms from Rb at (0.000, 0.000, 0.000), La at (0.000, 0.500, 0.500) and V at (0.500, 0.500, 0.500).


8.
VASP calculation (PBE-GGA) on a relaxed NpTeBr crystal.

The total DFT energy (no corrections) comes out at -6.61 eV/atom.

The space group is P3m1 (No. 156) and the conventional cell measures 4.9521, 4.9521 and 4.0864 Å, with angles of 90.00, 90.00 and 120.00 degrees. Symmetry generates all atoms from Np at (0.0000, 0.0000, 0.0000), Te at (0.6667, 0.3333, 0.5068) and Br at (0.3333, 0.6667, 0.0115).


Number 1: DOS at the Fermi energy 1.42 states/eV/atom. Number 2: DOS at the Fermi energy 0.97 states/eV/atom. Number 3: DOS at the Fermi energy 1.18 states/eV/atom. Number 4: DOS at the Fermi energy 0.72 states/eV/atom. Number 5: DOS at the Fermi energy 1.65 states/eV/atom. Number 6: DOS at the Fermi energy 0.80 states/eV/atom. Number 7: DOS at the Fermi energy 1.36 states/eV/atom. Number 8: DOS at the Fermi energy 1.91 states/eV/atom.